1.
# SrLi2CO

Crystalline SrLi2CO at its relaxed geometry (PBE, the Alexandria database).

DOS at the Fermi energy ... 1.2 states/eV/f.u.
Formation energy without anion corrections ... 1.102 eV/atom

Cell lengths 6.1801, 6.1801, 4.3755 Å; angles 90.00, 90.00, 90.00 degrees
Atoms (fractional coordinates):
Sr (0.0000, 0.0000, 0.0000)
Li (0.0000, 0.5000, 0.0000)
Li (0.5000, 0.0000, 0.0000)
C (0.5000, 0.5000, 0.5000)
O (0.0000, 0.0000, 0.5000)


2.
# SrLiCO3

Crystalline SrLiCO3 at its relaxed geometry (PBE, the Alexandria database).

DOS at the Fermi energy ... 0.5 states/eV/f.u.
Formation energy without anion corrections ... -1.679 eV/atom

Cell lengths 5.2889, 5.2889, 5.5237 Å; angles 90.00, 90.00, 120.00 degrees
Atoms (fractional coordinates):
Sr (0.3333, 0.6667, 0.2500)
Sr (0.6667, 0.3333, 0.7500)
Li (0.0000, 0.0000, 0.0000)
Li (0.0000, 0.0000, 0.5000)
C (0.3333, 0.6667, 0.7500)
C (0.6667, 0.3333, 0.2500)
O (0.1829, 0.3659, 0.7500)
O (0.1829, 0.8171, 0.7500)
O (0.3659, 0.1829, 0.2500)
O (0.6341, 0.8171, 0.7500)
O (0.8171, 0.1829, 0.2500)
O (0.8171, 0.6341, 0.2500)


3.
# LiTbC2O6

Crystalline LiTbC2O6 at its relaxed geometry (PBE, the Alexandria database).

DOS at the Fermi energy ... 0.0 states/eV/f.u.
Formation energy without anion corrections ... -2.106 eV/atom

Cell lengths 6.1204, 6.1204, 7.0718 Å; angles 96.82, 96.82, 110.41 degrees
Atoms (fractional coordinates):
Li (0.0849, 0.9151, 0.7500)
Li (0.9151, 0.0849, 0.2500)
Tb (0.4231, 0.5769, 0.2500)
Tb (0.5769, 0.4231, 0.7500)
C (0.1246, 0.4275, 0.7752)
C (0.4275, 0.1246, 0.2752)
C (0.5725, 0.8754, 0.7248)
C (0.8754, 0.5725, 0.2248)
O (0.0304, 0.4771, 0.2534)
O (0.1264, 0.2445, 0.6655)
O (0.2445, 0.1264, 0.1655)
O (0.3044, 0.5297, 0.9188)
O (0.4703, 0.6956, 0.5812)
O (0.4771, 0.0304, 0.7534)
O (0.5229, 0.9696, 0.2466)
O (0.5297, 0.3044, 0.4188)
O (0.6956, 0.4703, 0.0812)
O (0.7555, 0.8736, 0.8345)
O (0.8736, 0.7555, 0.3345)
O (0.9696, 0.5229, 0.7466)


4.
# Li3TbC4O12

Crystalline Li3TbC4O12 at its relaxed geometry (PBE, the Alexandria database).

DOS at the Fermi energy ... 8.0 states/eV/f.u.
Formation energy without anion corrections ... -1.737 eV/atom

Cell lengths 6.1563, 6.1563, 6.1563 Å; angles 102.00, 102.00, 102.00 degrees
Atoms (fractional coordinates):
Li (0.0000, 0.5476, 0.4524)
Li (0.4524, 0.0000, 0.5476)
Li (0.5476, 0.4524, 0.0000)
Tb (0.0000, 0.0000, 0.0000)
C (0.0433, 0.5000, 0.9567)
C (0.5000, 0.5000, 0.5000)
C (0.5000, 0.9567, 0.0433)
C (0.9567, 0.0433, 0.5000)
O (0.0377, 0.6355, 0.8210)
O (0.0904, 0.9096, 0.5000)
O (0.1790, 0.3645, 0.9623)
O (0.3645, 0.9623, 0.1790)
O (0.3664, 0.6336, 0.5000)
O (0.5000, 0.0904, 0.9096)
O (0.5000, 0.3664, 0.6336)
O (0.6336, 0.5000, 0.3664)
O (0.6355, 0.8210, 0.0377)
O (0.8210, 0.0377, 0.6355)
O (0.9096, 0.5000, 0.0904)
O (0.9623, 0.1790, 0.3645)


5.
# LiTiCO5

Crystalline LiTiCO5 at its relaxed geometry (PBE, the Alexandria database).

DOS at the Fermi energy ... 3.3 states/eV/f.u.
Formation energy without anion corrections ... -1.813 eV/atom

Cell lengths 5.1281, 5.1281, 7.0478 Å; angles 107.46, 107.46, 97.34 degrees
Atoms (fractional coordinates):
Li (0.1692, 0.8308, 0.7500)
Li (0.8308, 0.1692, 0.2500)
Ti (0.5000, 0.5000, 0.0000)
Ti (0.5000, 0.5000, 0.5000)
C (0.1602, 0.8398, 0.2500)
C (0.8398, 0.1602, 0.7500)
O (0.1255, 0.2231, 0.8757)
O (0.2042, 0.6893, 0.3850)
O (0.2231, 0.1255, 0.3757)
O (0.3107, 0.7958, 0.1150)
O (0.4150, 0.5850, 0.7500)
O (0.5850, 0.4150, 0.2500)
O (0.6893, 0.2042, 0.8850)
O (0.7769, 0.8745, 0.6243)
O (0.7958, 0.3107, 0.6150)
O (0.8745, 0.7769, 0.1243)


6.
# Li2TlCO

Crystalline Li2TlCO at its relaxed geometry (PBE, the Alexandria database).

DOS at the Fermi energy ... 1.4 states/eV/f.u.
Formation energy without anion corrections ... 0.021 eV/atom

Cell lengths 3.6269, 3.6269, 5.3496 Å; angles 90.00, 90.00, 90.00 degrees
Atoms (fractional coordinates):
Li (0.0000, 0.5000, 0.0000)
Li (0.5000, 0.0000, 0.0000)
Tl (0.0000, 0.0000, 0.5000)
C (0.5000, 0.5000, 0.5000)
O (0.0000, 0.0000, 0.0000)


7.
# LiTl3C2O6

Crystalline LiTl3C2O6 at its relaxed geometry (PBE, the Alexandria database).

DOS at the Fermi energy ... 0.0 states/eV/f.u.
Formation energy without anion corrections ... -1.263 eV/atom

Cell lengths 5.3749, 5.3749, 7.3741 Å; angles 90.00, 90.00, 120.00 degrees
Atoms (fractional coordinates):
Li (0.0000, 0.0000, 0.0000)
Tl (0.0000, 0.0000, 0.5000)
Tl (0.3333, 0.6667, 0.2792)
Tl (0.6667, 0.3333, 0.7208)
C (0.3333, 0.6667, 0.8203)
C (0.6667, 0.3333, 0.1797)
O (0.1932, 0.3864, 0.8190)
O (0.1932, 0.8068, 0.8190)
O (0.3864, 0.1932, 0.1810)
O (0.6136, 0.8068, 0.8190)
O (0.8068, 0.1932, 0.1810)
O (0.8068, 0.6136, 0.1810)


8.
# LiTl2C2O6

Crystalline LiTl2C2O6 at its relaxed geometry (PBE, the Alexandria database).

DOS at the Fermi energy ... 2.5 states/eV/f.u.
Formation energy without anion corrections ... -1.271 eV/atom

Cell lengths 5.8304, 5.8304, 6.8343 Å; angles 119.21, 119.21, 51.90 degrees
Atoms (fractional coordinates):
Li (0.0000, 0.0000, 0.0000)
Tl (0.1780, 0.1780, 0.6765)
Tl (0.8220, 0.8220, 0.3235)
C (0.4926, 0.4926, 0.7644)
C (0.5074, 0.5074, 0.2356)
O (0.2046, 0.6451, 0.7485)
O (0.3549, 0.7954, 0.2515)
O (0.3733, 0.3733, 0.2036)
O (0.6267, 0.6267, 0.7964)
O (0.6451, 0.2046, 0.7485)
O (0.7954, 0.3549, 0.2515)


9.
# LiTmC2O6

Crystalline LiTmC2O6 at its relaxed geometry (PBE, the Alexandria database).

DOS at the Fermi energy ... 0.0 states/eV/f.u.
Formation energy without anion corrections ... -2.119 eV/atom

Cell lengths 6.0588, 6.0588, 6.9147 Å; angles 97.26, 97.26, 110.48 degrees
Atoms (fractional coordinates):
Li (0.0842, 0.9158, 0.7500)
Li (0.9158, 0.0842, 0.2500)
Tm (0.4250, 0.5750, 0.2500)
Tm (0.5750, 0.4250, 0.7500)
C (0.1206, 0.4249, 0.7718)
C (0.4249, 0.1206, 0.2718)
C (0.5751, 0.8794, 0.7282)
C (0.8794, 0.5751, 0.2282)
O (0.0381, 0.4807, 0.2524)
O (0.1227, 0.2426, 0.6553)
O (0.2426, 0.1227, 0.1553)
O (0.3056, 0.5280, 0.9185)
O (0.4720, 0.6944, 0.5815)
O (0.4807, 0.0381, 0.7524)
O (0.5193, 0.9619, 0.2476)
O (0.5280, 0.3056, 0.4185)
O (0.6944, 0.4720, 0.0815)
O (0.7574, 0.8773, 0.8447)
O (0.8773, 0.7574, 0.3447)
O (0.9619, 0.5193, 0.7476)